# 1
18
Lattice="-4.0122 2.2040 -2.4855 -5.1442 -1.6814 5.9260 0.0369 6.4510 4.7739" Properties=species:S:1:pos:R:3 comment="Al2CdAu6 (PBE-GGA, relaxed)" e_form_ev_per_atom=-0.22 total_magnetization_mub_per_fu=0.00 sg="C2/c (15)" de_polymorph_mev_per_atom=0 crystal_system=monoclinic pbc="T T T"
Au -3.2093 3.5431 0.6843
Au -5.4795 2.6442 4.8004
Cd -7.6480 0.7649 3.9495
Au -6.1213 5.8877 3.2542
Al -1.5142 2.7549 3.2426
Al -4.4100 4.9834 5.9501
Cd -1.4715 6.2088 4.2649
Au -6.6639 6.4984 6.0088
Al -4.7095 1.9903 2.2643
Au -2.4555 0.4753 2.2056
Au -5.0208 -0.3441 3.5764
Au -5.9102 3.4306 7.5300
Au -5.7110 0.5361 6.6853
Al -7.6053 4.2188 4.9717
Au -3.4084 6.4376 1.5290
Au -2.9982 1.0860 4.9601
Au -3.6400 4.3295 3.4140
Au -4.0987 7.3178 4.6379

***

# 2
4
Lattice="3.3122 0.0000 0.0000 0.0000 3.3122 0.0000 0.0000 0.0000 5.9979" Properties=species:S:1:pos:R:3 comment="Si2HgMo (PBE-GGA, relaxed)" total_magnetization_mub_per_fu=0.00 energy_ev_per_atom=-5.343 sg="P4/mmm (123)" crystal_system=tetragonal pbc="T T T"
Si 0.0000 0.0000 3.2589
Si 0.0000 0.0000 5.7379
Hg 1.6561 1.6561 1.4995
Mo 1.6561 1.6561 4.4984

***

# 3
4
Lattice="-1.0323 -7.0084 -3.9272 2.0579 -5.7398 -5.3315 2.0977 -7.5156 -2.1730" Properties=species:S:1:pos:R:3 comment="CaSi2Se (PBE-GGA, relaxed)" total_magnetization_mub_per_fu=0.00 energy_ev_per_atom=-3.923 sg="R-3m (166)" crystal_system=trigonal pbc="T T T"
Se 2.3425 -15.1978 -8.5738
Si 1.5189 -9.8544 -5.5593
Si 0.0428 -0.2775 -0.1566
Ca 0.7808 -5.0659 -2.8579

***

# 4
5
Lattice="4.1409 0.0000 0.0000 0.0000 4.1409 0.0000 2.0704 2.0704 6.1428" Properties=species:S:1:pos:R:3 comment="YMg2Mn2 (PBE-GGA, relaxed)" e_form_ev_per_atom=0.26 total_magnetization_mub_per_fu=6.06 sg="I4/mmm (139)" crystal_system=tetragonal pbc="T T T"
Mn 2.0704 2.0704 1.1734
Mg 4.1409 2.0704 3.0714
Y 0.0000 0.0000 0.0000
Mn 4.1409 4.1409 4.9694
Mg 2.0704 4.1409 3.0714

***

# 5
4
Lattice="-3.4278 -1.2305 1.9123 -1.9457 -3.4012 -1.2519 0.0526 -3.3802 2.3435" Properties=species:S:1:pos:R:3 comment="VCoNiRu (PBE-GGA, relaxed)" e_form_ev_per_atom=-0.01 total_magnetization_mub_per_fu=1.66 sg="F-43m (216)" de_polymorph_mev_per_atom=161 crystal_system=cubic pbc="T T T"
V -1.3302 -2.0030 0.7510
Ni -3.9906 -6.0089 2.2530
Ru 0.0000 0.0000 0.0000
Co -2.6604 -4.0059 1.5020

***

# 6
4
Lattice="-0.6066 1.6067 -2.9265 -3.0602 -0.2139 -1.4503 -3.0847 5.5526 1.7207" Properties=species:S:1:pos:R:3 comment="Zr2PN (PBE-GGA, relaxed)" total_magnetization_mub_per_fu=0.00 sg="R3m (160)" de_polymorph_mev_per_atom=275 crystal_system=trigonal pbc="T T T"
P -5.5257 6.4714 -1.2033
N -3.3910 3.5143 -1.3021
Zr -2.5791 4.1712 0.8574
Zr -1.7163 1.8139 -0.6156

***

# 7
15
Lattice="6.1163 0.0000 0.0000 -3.0581 5.2969 0.0000 0.0000 0.0000 7.4971" Properties=species:S:1:pos:R:3 comment="Ba3DyTe2O9 (PBE-GGA, relaxed)" total_magnetization_mub_per_fu=0.00 energy_ev_per_atom=-6.321 sg="P-3m1 (164)" crystal_system=trigonal pbc="T T T"
O 1.5291 2.6484 0.0000
O 0.0000 1.8446 2.4725
O 3.0581 3.4522 5.0246
O -1.4607 4.3746 2.4725
O 3.0581 0.0000 0.0000
O 4.5188 0.9223 5.0246
Ba 0.0000 0.0000 0.0000
O 1.4607 4.3746 2.4725
Ba 3.0582 1.7656 2.4122
Te 3.0582 1.7656 6.2001
Te 0.0000 3.5312 1.2971
Dy 0.0000 0.0000 3.7486
Ba 0.0000 3.5312 5.0850
O -1.5291 2.6484 0.0000
O 1.5975 0.9223 5.0246

***

# 8
18
Lattice="-2.6124 -2.8752 -4.2151 2.7863 -4.4502 -2.3002 -2.8022 -7.7541 1.5224" Properties=species:S:1:pos:R:3 comment="ZnH3Pd5 (PBE-GGA, relaxed)" total_magnetization_mub_per_fu=0.00 energy_ev_per_atom=-4.301 sg="C2/m (12)" crystal_system=monoclinic pbc="T T T"
Pd -1.7331 -9.4180 -2.8603
H -1.9950 -8.4960 -1.3634
Pd -0.8953 -5.6614 -2.1326
Zn -0.7509 -9.1357 -5.3972
Zn -1.8775 -5.9438 0.4044
Pd -2.6527 -13.3252 -3.4813
H -0.6333 -6.5835 -3.6295
H -2.2153 -11.4913 -3.2061
Pd -1.1312 -3.3073 -3.6897
H 0.0000 0.0000 0.0000
Pd -0.3710 -7.9964 -0.6823
Pd -3.2116 -7.1677 -1.6899
Pd 0.5833 -7.9118 -3.3030
Pd 0.0244 -1.7542 -1.5116
H -1.4011 -3.8771 0.7612
Pd 1.3051 -4.0181 -2.8255
H -0.4130 -3.5882 -1.7868
Pd -2.2574 -7.0830 -4.3105

***

# 9
5
Lattice="-3.5772 3.6108 -0.8179 -3.6010 -3.1294 1.9346 0.8597 1.9164 4.7002" Properties=species:S:1:pos:R:3 comment="CaMnCd3 (PBE-GGA, relaxed)" e_form_ev_per_atom=0.23 total_magnetization_mub_per_fu=3.20 sg="Pm-3m (221)" de_polymorph_mev_per_atom=0 crystal_system=cubic pbc="T T T"
Cd 0.4299 0.9582 2.3501
Cd -1.7886 1.8054 -0.4089
Mn 0.0000 0.0000 0.0000
Ca -3.1593 1.1989 2.9085
Cd -1.8005 -1.5647 0.9673

***

# 10
16
Lattice="-0.5167 0.1958 -9.7760 1.0092 -9.7358 -0.2669 -7.6434 3.4174 4.7957" Properties=species:S:1:pos:R:3 comment="K2RbSiTe4 (PBE-GGA, relaxed)" total_magnetization_mub_per_fu=0.77 energy_ev_per_atom=-3.028 sg="C2/c (15)" crystal_system=monoclinic pbc="T T T"
Te 0.0257 -7.8343 -8.1359
Rb 0.5046 -4.8679 -0.1335
Te -7.7775 1.7973 -3.1947
Si -8.1600 3.6131 -4.9802
Te -3.3904 -4.9399 -0.8719
Te -4.0498 -1.3057 -0.7645
Rb -3.8337 -2.9634 -7.5116
Si -3.5755 -3.0613 -2.6236
Te 0.6266 -7.9199 -2.0526
K -0.2584 0.0978 -4.8880
K -3.8217 1.7086 2.3979
Te -7.1766 1.7117 2.8888
K -4.0800 1.8066 -2.4901
Te -3.1010 -4.8170 -4.4827
Te -3.7605 -1.1827 -4.3752
K 0.2462 -4.7700 -5.0215

***

# 11
20
Lattice="-4.7261 -1.1005 -2.3782 7.4299 -3.1523 -13.3064 1.3225 -14.9070 4.2699" Properties=species:S:1:pos:R:3 comment="K3Rb5Hg2 (PBE-GGA, relaxed)" e_form_ev_per_atom=-0.07 total_magnetization_mub_per_fu=0.00 sg="P4/mbm (127)" crystal_system=tetragonal pbc="T T T"
Hg 2.9510 -3.0464 -4.4548
K 3.5191 -13.3503 -0.8156
Hg 6.9964 -8.3470 -10.0412
Rb 0.4970 -9.9730 -2.5124
K 4.3762 -9.0297 -4.5182
Rb 1.3519 -2.1264 -7.8423
Rb -0.7907 -12.4513 1.1933
K 5.2333 -4.7090 -8.2208
Rb -1.7018 -8.0037 0.9459
K 1.7207 -5.4143 -0.9141
Rb -0.6558 -2.3110 -3.7671
Rb 4.6821 -16.8488 -7.6476
Rb 2.8368 -13.0413 -5.7424
K 0.0000 0.0000 0.0000
Rb 1.1895 -6.1185 -5.6723
Hg 5.8013 -15.0129 -4.5816
Rb 4.8169 -6.7085 -12.6079
K 7.0316 -12.6450 -8.1223
Rb 3.5293 -9.1868 -8.9022
Hg 1.7559 -9.7123 1.0047

***

# 12
5
Lattice="-2.2644 0.6071 3.4180 2.0511 -3.0584 1.9020 3.3267 3.2434 1.6279" Properties=species:S:1:pos:R:3 comment="CsAsPO2 (PBE-GGA, relaxed)" total_magnetization_mub_per_fu=0.00 sg="P4/mmm (123)" de_polymorph_mev_per_atom=0 crystal_system=tetragonal pbc="T T T"
O 1.0255 -1.5292 0.9510
As 0.0000 0.0000 0.0000
P 1.6634 1.6217 0.8139
O -1.1322 0.3035 1.7090
Cs 1.5567 0.3960 3.4739

***

no.,mass density (g/cm³)
1,13.88
2,8.90
3,3.27
4,3.90
5,9.10
6,6.03
7,6.66
8,9.89
9,5.26
10,3.25
11,2.40
12,5.32